## ZnTe2Au (GGA-PBEsol)

Data for crystalline ZnTe2Au at its relaxed geometry.

```
4
Lattice="-3.355 -0.165 2.858 -3.524 -4.148 -0.972 0.824 -3.540 4.166" Properties=species:S:1:pos:R:3 pbc="T T T"
Au -1.489 -2.251 1.526
Te -3.298 -0.824 2.888
Te -4.600 -5.209 4.509
Zn -3.050 -3.661 3.014
```

For the raw total energy, the calculation gives -3.09 eV per atom. As for the uncorrected formation energy: 4.42 kJ per mole of atoms.